! PBE-GGA NaSrCa2S, relaxed; values from VASP
&SYSTEM
  ibrav = 0, nat = 5, ntyp = 4
/
ATOMIC_SPECIES
Na 22.99 Na.upf
Sr 87.62 Sr.upf
Ca 40.08 Ca.upf
S 32.06 S.upf
CELL_PARAMETERS angstrom
5.576 0.000 0.000
0.000 5.576 0.000
0.000 0.000 6.024
ATOMIC_POSITIONS angstrom
Na 0.000 0.000 0.000
Sr 2.788 2.788 0.000
Ca 0.000 2.788 3.012
Ca 2.788 0.000 3.012
S 2.788 2.788 3.012
! - Formation energy without anion corrections: -706 meV/atom
! - Total moment: 0.00 Bohr magnetons per cell